# CoPt3F, relaxed, DFT GGA+U
data_CoPt3F
_chemical_formula_sum 'Co1 Pt3 F1'
_symmetry_space_group_name_H-M 'P m -3 m'
_symmetry_Int_Tables_number 221
_symmetry_space_group_name_Hall '-P 4 2 3'
_cell_length_a 4.559
_cell_length_b 4.559
_cell_length_c 4.559
_cell_angle_alpha 90.00
_cell_angle_beta 90.00
_cell_angle_gamma 90.00
loop_
_atom_site_label
_atom_site_fract_x
_atom_site_fract_y
_atom_site_fract_z
_atom_site_occupancy
Co1 0.000 0.000 0.000 1
Pt1 0.000 0.000 0.500 1
F1 0.500 0.500 0.500 1
# **Raw total energy**: -3.95 eV per atom
# **DOS(E_F)**: 4.8 states/eV/f.u.